(1)
Here is an optimized crystal structure of AlIn2Ru from Alexandria. Energies are from PBE.

Computed properties:
* density of states at the Fermi level: 2.20 states/eV/f.u.
* E_form: -0.092 eV per atom
* space group: P4mm, No. 99
* calculated total energy: -18.863 eV/cell
* crystal system: tetragonal

Unit cell a=3.1242 b=3.1242 c=8.1254 alpha=90.00 beta=90.00 gamma=90.00
Closest atoms and distances in Å follow each position.
Positions (direct):
Ru: 0.0000 0.0000 0.5336  4 Al 2.53
In: 0.0000 0.0000 0.9705  4 In 3.12, 4 Al 3.20
Al: 0.5000 0.5000 0.6855  4 Ru 2.53
In: 0.5000 0.5000 0.3104  4 Ru 2.86, 1 Al 3.05, 4 In 3.12

(2)
Here is an optimized crystal structure of AlIn2Ru from Alexandria. Energies are from PBE.

Computed properties:
* density of states at the Fermi level: 1.85 states/eV/f.u.
* E_form: 0.078 eV per atom
* space group: Imm2, No. 44
* calculated total energy: -18.183 eV/cell
* crystal system: orthorhombic

Unit cell a=5.2013 b=5.2013 c=5.2013 alpha=135.45 beta=131.29 gamma=68.13
Closest atoms and distances in Å follow each position.
Positions (direct):
In: 0.0066 0.0066 0.0000  4 Ru 2.92, 4 Al 2.94-3.03, 4 In 2.96-3.01
Al: 0.2736 0.7736 0.5000  2 Ru 2.64, 6 In 2.93-2.94
In: 0.7427 0.2427 0.5000  4 Al 2.93, 4 Ru 2.95-3.02, 4 In 2.96-3.01
Ru: 0.4772 0.4772 0.0000  2 Al 2.64, 6 In 2.92-2.95